# 1
This record from Alexandria via LeMat-Bulk describes a relaxed Sr3NbO crystal. The functional is PBE.

a b c (Å): 5.2434 5.2434 5.2434
angles (deg): 90.00 90.00 90.00
Sites, in units of the cell vectors:
Sr: 0.0000 0.0000 0.5000
Sr: 0.0000 0.5000 0.0000
Sr: 0.5000 0.0000 0.0000
Nb: 0.5000 0.5000 0.5000
O: 0.0000 0.0000 0.0000

SG: Pm-3m

=====

# 2
This record from Alexandria via LeMat-Bulk describes a relaxed Sr3NbO crystal. The functional is PBE.

a b c (Å): 5.6606 5.6606 5.6606
angles (deg): 90.00 90.00 90.00
Sites, in units of the cell vectors:
Sr: 0.0000 0.0000 0.5000
Sr: 0.0000 0.5000 0.0000
Sr: 0.5000 0.0000 0.0000
Nb: 0.0000 0.0000 0.0000
O: 0.5000 0.5000 0.5000

SG: Pm-3m

=====

# 3
This record from Alexandria via LeMat-Bulk describes a relaxed Sr3Nb4O13 crystal. The functional is PBE.

a b c (Å): 18.1463 18.1463 18.1463
angles (deg): 167.40 167.40 17.85
Sites, in units of the cell vectors:
Sr: 0.0000 0.0000 0.0000
Sr: 0.1345 0.1345 0.0000
Sr: 0.8655 0.8655 0.0000
Nb: 0.3057 0.3057 0.0000
Nb: 0.4399 0.4399 0.0000
Nb: 0.5601 0.5601 0.0000
Nb: 0.6943 0.6943 0.0000
O: 0.0545 0.5545 0.5000
O: 0.1773 0.6773 0.5000
O: 0.2575 0.2575 0.0000
O: 0.3227 0.8227 0.5000
O: 0.3873 0.3873 0.0000
O: 0.4455 0.9455 0.5000
O: 0.5000 0.5000 0.0000
O: 0.5545 0.0545 0.5000
O: 0.6127 0.6127 0.0000
O: 0.6773 0.1773 0.5000
O: 0.7425 0.7425 0.0000
O: 0.8227 0.3227 0.5000
O: 0.9455 0.4455 0.5000

SG: I4/mmm

=====

In order of appearance, calculated total energy = -4.49; -3.00; -8.22 eV/atom.
In order of appearance, ΔE_f (raw) = -0.48; 1.02; -2.73 eV/atom.